The following is a DFT calculation (PBE) of crystalline BaBe3B at its relaxed geometry.

a = 4.133 Å, b = 4.133 Å, c = 4.133 Å
α = 90.00°, β = 90.00°, γ = 90.00°
Space group Pm-3m (No. 221)
Inequivalent atoms, fractional coordinates:
Ba  0.000  0.000  0.000
Be  0.000  0.500  0.500
B  0.500  0.500  0.500

Properties
* total energy: -3.232 eV/atom
* total magnetization: 0.00 Bohr magnetons per cell
* calculated density: 4.12 g cm⁻³
* formation energy from the elements: 3.617 eV per formula unit